Record 1
A plane-wave DFT calculation with PBE was carried out for an optimized crystal structure of SnBiBr2.

Structure (CIF):
```
data_SnBiBr2
_chemical_formula_sum 'Sn4 Bi4 Br8'
_cell_length_a 7.707
_cell_length_b 7.707
_cell_length_c 7.707
_cell_angle_alpha 90.00
_cell_angle_beta 90.00
_cell_angle_gamma 90.00
_space_group_name_H-M_alt 'P 1'
_space_group_IT_number 1
_space_group_name_Hall 'P 1'
loop_
_atom_site_label
_atom_site_type_symbol
_atom_site_fract_x
_atom_site_fract_y
_atom_site_fract_z
Sn1 Sn 0.000 0.000 0.000
Sn2 Sn 0.000 0.500 0.500
Sn3 Sn 0.500 0.000 0.500
Sn4 Sn 0.500 0.500 0.000
Bi1 Bi 0.000 0.000 0.500
Bi2 Bi 0.000 0.500 0.000
Bi3 Bi 0.500 0.000 0.000
Bi4 Bi 0.500 0.500 0.500
Br1 Br 0.250 0.250 0.250
Br2 Br 0.250 0.250 0.750
Br3 Br 0.250 0.750 0.250
Br4 Br 0.250 0.750 0.750
Br5 Br 0.750 0.250 0.250
Br6 Br 0.750 0.250 0.750
Br7 Br 0.750 0.750 0.250
Br8 Br 0.750 0.750 0.750
```

Summary:
Density = 7.07 g/cm3
Space group = Fm-3m (225)
Total magnetization = 0.000 Bohr magnetons per cell
Excess energy over the best structure of this formula in the dataset = 0.295 eV/atom
ΔE_f (raw) = 0.019 eV/atom

Record 2
A plane-wave DFT calculation with PBE was carried out for an optimized crystal structure of SnBiBr2.

Structure (CIF):
```
data_SnBiBr2
_chemical_formula_sum 'Sn4 Bi4 Br8'
_cell_length_a 8.547
_cell_length_b 8.547
_cell_length_c 6.921
_cell_angle_alpha 90.00
_cell_angle_beta 90.00
_cell_angle_gamma 90.00
_space_group_name_H-M_alt 'P 1'
_space_group_IT_number 1
_space_group_name_Hall 'P 1'
loop_
_atom_site_label
_atom_site_type_symbol
_atom_site_fract_x
_atom_site_fract_y
_atom_site_fract_z
Sn1 Sn 0.000 0.000 0.000
Sn2 Sn 0.000 0.500 0.250
Sn3 Sn 0.500 0.000 0.750
Sn4 Sn 0.500 0.500 0.500
Bi1 Bi 0.000 0.000 0.500
Bi2 Bi 0.000 0.500 0.750
Bi3 Bi 0.500 0.000 0.250
Bi4 Bi 0.500 0.500 0.000
Br1 Br 0.246 0.250 0.125
Br2 Br 0.250 0.746 0.375
Br3 Br 0.250 0.754 0.875
Br4 Br 0.254 0.250 0.625
Br5 Br 0.746 0.750 0.625
Br6 Br 0.750 0.246 0.875
Br7 Br 0.750 0.254 0.375
Br8 Br 0.754 0.750 0.125
```

Summary:
Density = 6.41 g/cm3
Space group = I-42d (122)
Total magnetization = 0.000 Bohr magnetons per cell
Excess energy over the best structure of this formula in the dataset = 0.150 eV/atom
ΔE_f (raw) = -0.127 eV/atom

Record 3
A plane-wave DFT calculation with PBE was carried out for an optimized crystal structure of SnBiBr6.

Structure (CIF):
```
data_SnBiBr6
_chemical_formula_sum 'Sn1 Bi1 Br6'
_cell_length_a 7.676
_cell_length_b 7.676
_cell_length_c 7.676
_cell_angle_alpha 55.04
_cell_angle_beta 55.04
_cell_angle_gamma 55.04
_space_group_name_H-M_alt 'P 1'
_space_group_IT_number 1
_space_group_name_Hall 'P 1'
loop_
_atom_site_label
_atom_site_type_symbol
_atom_site_fract_x
_atom_site_fract_y
_atom_site_fract_z
Sn1 Sn 0.000 0.000 0.000
Bi1 Bi 0.500 0.500 0.500
Br1 Br 0.082 0.755 0.409
Br2 Br 0.245 0.591 0.918
Br3 Br 0.409 0.082 0.755
Br4 Br 0.591 0.918 0.245
Br5 Br 0.755 0.409 0.082
Br6 Br 0.918 0.245 0.591
```

Summary:
Density = 4.74 g/cm3
Space group = R-3 (148)
Total magnetization = 0.000 Bohr magnetons per cell
ΔE_f (raw) = -0.620 eV/atom

Record 4
A plane-wave DFT calculation with PBE was carried out for an optimized crystal structure of SnBiBr.

Structure (CIF):
```
data_SnBiBr
_chemical_formula_sum 'Sn2 Bi2 Br2'
_cell_length_a 4.394
_cell_length_b 4.794
_cell_length_c 9.883
_cell_angle_alpha 91.44
_cell_angle_beta 90.03
_cell_angle_gamma 90.03
_space_group_name_H-M_alt 'P 1'
_space_group_IT_number 1
_space_group_name_Hall 'P 1'
loop_
_atom_site_label
_atom_site_type_symbol
_atom_site_fract_x
_atom_site_fract_y
_atom_site_fract_z
Sn1 Sn 0.246 0.430 0.238
Sn2 Sn 0.754 0.570 0.762
Bi1 Bi 0.249 0.777 0.515
Bi2 Bi 0.751 0.223 0.485
Br1 Br 0.250 0.240 0.868
Br2 Br 0.750 0.760 0.132
```

Summary:
Density = 6.50 g/cm3
Space group = P-1 (2)
Total magnetization = 0.000 Bohr magnetons per cell
Excess energy over the best structure of this formula in the dataset = 0.000 eV/atom
ΔE_f (raw) = -0.263 eV/atom

Record 5
A plane-wave DFT calculation with PBE was carried out for an optimized crystal structure of Sn3BiBr.

Structure (CIF):
```
data_Sn3BiBr
_chemical_formula_sum 'Sn3 Bi1 Br1'
_cell_length_a 5.609
_cell_length_b 5.609
_cell_length_c 5.609
_cell_angle_alpha 90.00
_cell_angle_beta 90.00
_cell_angle_gamma 90.00
_space_group_name_H-M_alt 'P 1'
_space_group_IT_number 1
_space_group_name_Hall 'P 1'
loop_
_atom_site_label
_atom_site_type_symbol
_atom_site_fract_x
_atom_site_fract_y
_atom_site_fract_z
Sn1 Sn 0.000 0.000 0.500
Sn2 Sn 0.000 0.500 0.000
Sn3 Sn 0.500 0.000 0.000
Bi1 Bi 0.500 0.500 0.500
Br1 Br 0.000 0.000 0.000
```

Summary:
Density = 6.07 g/cm3
Space group = Pm-3m (221)
Total magnetization = 0.000 Bohr magnetons per cell
Excess energy over the best structure of this formula in the dataset = 0.000 eV/atom
ΔE_f (raw) = 0.519 eV/atom

Record 6
A plane-wave DFT calculation with PBE was carried out for an optimized crystal structure of SnBiBr2.

Structure (CIF):
```
data_SnBiBr2
_chemical_formula_sum 'Sn1 Bi1 Br2'
_cell_length_a 3.825
_cell_length_b 3.831
_cell_length_c 12.175
_cell_angle_alpha 81.15
_cell_angle_beta 81.14
_cell_angle_gamma 60.06
_space_group_name_H-M_alt 'P 1'
_space_group_IT_number 1
_space_group_name_Hall 'P 1'
loop_
_atom_site_label
_atom_site_type_symbol
_atom_site_fract_x
_atom_site_fract_y
_atom_site_fract_z
Sn1 Sn 0.000 0.000 0.000
Bi1 Bi 0.504 0.495 0.500
Br1 Br 0.279 0.280 0.166
Br2 Br 0.721 0.720 0.834
```

Summary:
Density = 5.32 g/cm3
Space group = P1 (1)
Total magnetization = 0.000 Bohr magnetons per cell
Excess energy over the best structure of this formula in the dataset = 0.106 eV/atom
ΔE_f (raw) = -0.171 eV/atom

Record 7
A plane-wave DFT calculation with PBE was carried out for an optimized crystal structure of SnBiBr.

Structure (CIF):
```
data_SnBiBr
_chemical_formula_sum 'Sn4 Bi4 Br4'
_cell_length_a 7.548
_cell_length_b 8.238
_cell_length_c 8.560
_cell_angle_alpha 62.79
_cell_angle_beta 77.66
_cell_angle_gamma 78.96
_space_group_name_H-M_alt 'P 1'
_space_group_IT_number 1
_space_group_name_Hall 'P 1'
loop_
_atom_site_label
_atom_site_type_symbol
_atom_site_fract_x
_atom_site_fract_y
_atom_site_fract_z
Sn1 Sn 0.000 0.000 0.000
Sn2 Sn 0.022 0.472 0.981
Sn3 Sn 0.472 0.293 0.301
Sn4 Sn 0.593 0.815 0.395
Bi1 Bi 0.365 0.120 0.099
Bi2 Bi 0.701 0.774 0.029
Bi3 Bi 0.776 0.426 0.368
Bi4 Bi 0.996 0.052 0.343
Br1 Br 0.216 0.598 0.183
Br2 Br 0.273 0.655 0.595
Br3 Br 0.316 0.123 0.631
Br4 Br 0.778 0.340 0.840
```

Summary:
Density = 5.89 g/cm3
Space group = P1 (1)
Total magnetization = 0.000 Bohr magnetons per cell
Excess energy over the best structure of this formula in the dataset = 0.045 eV/atom
ΔE_f (raw) = -0.218 eV/atom

Record 8
A plane-wave DFT calculation with PBE was carried out for an optimized crystal structure of Sn2BiBr6.

Structure (CIF):
```
data_Sn2BiBr6
_chemical_formula_sum 'Sn2 Bi1 Br6'
_cell_length_a 7.647
_cell_length_b 7.647
_cell_length_c 10.816
_cell_angle_alpha 104.16
_cell_angle_beta 104.16
_cell_angle_gamma 35.81
_space_group_name_H-M_alt 'P 1'
_space_group_IT_number 1
_space_group_name_Hall 'P 1'
loop_
_atom_site_label
_atom_site_type_symbol
_atom_site_fract_x
_atom_site_fract_y
_atom_site_fract_z
Sn1 Sn 0.179 0.179 0.330
Sn2 Sn 0.821 0.821 0.670
Bi1 Bi 0.500 0.500 0.000
Br1 Br 0.133 0.133 0.032
Br2 Br 0.180 0.180 0.601
Br3 Br 0.463 0.463 0.719
Br4 Br 0.537 0.537 0.281
Br5 Br 0.820 0.820 0.399
Br6 Br 0.867 0.867 0.968
```

Summary:
Density = 4.30 g/cm3
Space group = C2/m (12)
Total magnetization = 0.000 Bohr magnetons per cell
Excess energy over the best structure of this formula in the dataset = 0.000 eV/atom
ΔE_f (raw) = -0.624 eV/atom

Record 9
A plane-wave DFT calculation with PBE was carried out for an optimized crystal structure of Sn3BiBr.

Structure (CIF):
```
data_Sn3BiBr
_chemical_formula_sum 'Sn3 Bi1 Br1'
_cell_length_a 6.014
_cell_length_b 6.014
_cell_length_c 6.014
_cell_angle_alpha 90.00
_cell_angle_beta 90.00
_cell_angle_gamma 90.00
_space_group_name_H-M_alt 'P 1'
_space_group_IT_number 1
_space_group_name_Hall 'P 1'
loop_
_atom_site_label
_atom_site_type_symbol
_atom_site_fract_x
_atom_site_fract_y
_atom_site_fract_z
Sn1 Sn 0.000 0.000 0.500
Sn2 Sn 0.000 0.500 0.000
Sn3 Sn 0.500 0.000 0.000
Bi1 Bi 0.000 0.000 0.000
Br1 Br 0.500 0.500 0.500
```

Summary:
Density = 4.92 g/cm3
Space group = Pm-3m (221)
Total magnetization = 0.000 Bohr magnetons per cell
Excess energy over the best structure of this formula in the dataset = 0.058 eV/atom
ΔE_f (raw) = 0.577 eV/atom

Record 10
A plane-wave DFT calculation with PBE was carried out for an optimized crystal structure of SnBiBr2.

Structure (CIF):
```
data_SnBiBr2
_chemical_formula_sum 'Sn3 Bi3 Br6'
_cell_length_a 3.648
_cell_length_b 3.648
_cell_length_c 31.917
_cell_angle_alpha 90.00
_cell_angle_beta 90.00
_cell_angle_gamma 120.00
_space_group_name_H-M_alt 'P 1'
_space_group_IT_number 1
_space_group_name_Hall 'P 1'
loop_
_atom_site_label
_atom_site_type_symbol
_atom_site_fract_x
_atom_site_fract_y
_atom_site_fract_z
Sn1 Sn 0.000 0.000 0.000
Sn2 Sn 0.333 0.667 0.667
Sn3 Sn 0.667 0.333 0.333
Bi1 Bi 0.000 0.000 0.500
Bi2 Bi 0.333 0.667 0.167
Bi3 Bi 0.667 0.333 0.833
Br1 Br 0.000 0.000 0.410
Br2 Br 0.000 0.000 0.590
Br3 Br 0.333 0.667 0.077
Br4 Br 0.333 0.667 0.257
Br5 Br 0.667 0.333 0.743
Br6 Br 0.667 0.333 0.923
```

Summary:
Density = 6.60 g/cm3
Space group = R-3m (166)
Total magnetization = 0.000 Bohr magnetons per cell
Excess energy over the best structure of this formula in the dataset = 0.000 eV/atom
ΔE_f (raw) = -0.277 eV/atom

Record 11
A plane-wave DFT calculation with PBE was carried out for an optimized crystal structure of TaSnBiBr2.

Structure (CIF):
```
data_TaSnBiBr2
_chemical_formula_sum 'Ta1 Sn1 Bi1 Br2'
_cell_length_a 4.986
_cell_length_b 4.986
_cell_length_c 5.968
_cell_angle_alpha 90.00
_cell_angle_beta 90.00
_cell_angle_gamma 90.00
_space_group_name_H-M_alt 'P 1'
_space_group_IT_number 1
_space_group_name_Hall 'P 1'
loop_
_atom_site_label
_atom_site_type_symbol
_atom_site_fract_x
_atom_site_fract_y
_atom_site_fract_z
Ta1 Ta 0.000 0.000 0.000
Sn1 Sn 0.000 0.000 0.500
Bi1 Bi 0.500 0.500 0.500
Br1 Br 0.000 0.500 0.000
Br2 Br 0.500 0.000 0.000
```

Summary:
Density = 7.48 g/cm3
Space group = P4/mmm (123)
Total magnetization = 1.195 Bohr magnetons per cell
ΔE_f (raw) = 0.257 eV/atom

Record 12
A plane-wave DFT calculation with PBE was carried out for an optimized crystal structure of TlSnBiBr6.

Structure (CIF):
```
data_TlSnBiBr6
_chemical_formula_sum 'Tl2 Sn2 Bi2 Br12'
_cell_length_a 7.305
_cell_length_b 7.305
_cell_length_c 13.447
_cell_angle_alpha 90.00
_cell_angle_beta 90.00
_cell_angle_gamma 90.00
_space_group_name_H-M_alt 'P 1'
_space_group_IT_number 1
_space_group_name_Hall 'P 1'
loop_
_atom_site_label
_atom_site_type_symbol
_atom_site_fract_x
_atom_site_fract_y
_atom_site_fract_z
Tl1 Tl 0.000 0.000 0.000
Tl2 Tl 0.500 0.500 0.500
Sn1 Sn 0.000 0.000 0.670
Sn2 Sn 0.500 0.500 0.170
Bi1 Bi 0.000 0.000 0.333
Bi2 Bi 0.500 0.500 0.833
Br1 Br 0.180 0.180 0.500
Br2 Br 0.208 0.208 0.188
Br3 Br 0.221 0.221 0.822
Br4 Br 0.279 0.721 0.322
Br5 Br 0.292 0.708 0.688
Br6 Br 0.320 0.680 0.000
Br7 Br 0.680 0.320 0.000
Br8 Br 0.708 0.292 0.688
Br9 Br 0.721 0.279 0.322
Br10 Br 0.779 0.779 0.822
Br11 Br 0.792 0.792 0.188
Br12 Br 0.820 0.820 0.500
```

Summary:
Density = 4.68 g/cm3
Space group = P4_2nm (102)
Total magnetization = 0.000 Bohr magnetons per cell
ΔE_f (raw) = -0.757 eV/atom

Number 1: DFT total energy -44.62 eV per cell. Number 2: DFT total energy -46.95 eV per cell. Number 3: DFT total energy -22.88 eV per cell. Number 4: DFT total energy -20.69 eV per cell. Number 5: DFT total energy -14.96 eV per cell. Number 6: DFT total energy -11.91 eV per cell. Number 7: DFT total energy -40.85 eV per cell. Number 8: DFT total energy -27.54 eV per cell. Number 9: DFT total energy -14.68 eV per cell. Number 10: DFT total energy -37.01 eV per cell. Number 11: DFT total energy -21.80 eV per cell. Number 12: DFT total energy -54.20 eV per cell.